No. 1
Here is a crystal of Nb3TlS relaxed with PBEsol from Alexandria. Energies are from SCAN.

Computed properties:
E_tot   -34.0828 eV/atom
Formation energy from raw total energies   2.192 eV per atom
Total magnetization   0.000 μB per atom
D(E_F)   7.2 states/eV/f.u.

Lattice parameters (Å, degrees): 5.057 5.057 5.057 90.00 90.00 90.00
Atoms (fractional coordinates):
S  0.500  0.500  0.500
Tl  0.000  0.000  0.000
Nb  0.000  0.500  0.000
Nb  0.000  0.000  0.500
Nb  0.500  0.000  0.000



No. 2
Here is a crystal of NbTlS2 relaxed with PBEsol from Alexandria. Energies are from SCAN.

Computed properties:
E_tot   -32.0466 eV/atom
Formation energy from raw total energies   -0.861 eV per atom
Total magnetization   0.000 μB per atom
D(E_F)   1.9 states/eV/f.u.

Lattice parameters (Å, degrees): 3.307 3.307 9.341 79.81 79.81 60.00
Atoms (fractional coordinates):
S  0.891  0.891  0.328
S  0.109  0.109  0.672
Tl  0.000  0.000  0.000
Nb  0.500  0.500  0.500



No. 3
Here is a crystal of Nb6ZnS8 relaxed with PBEsol from Alexandria. Energies are from SCAN.

Computed properties:
E_tot   -20.3699 eV/atom
Formation energy from raw total energies   -1.082 eV per atom
Total magnetization   0.000 μB per atom
D(E_F)   6.0 states/eV/f.u.

Lattice parameters (Å, degrees): 3.352 9.523 9.523 120.00 90.00 90.00
Atoms (fractional coordinates):
Nb  0.751  0.884  0.514
Nb  0.751  0.486  0.370
Nb  0.751  0.630  0.116
Nb  0.249  0.116  0.486
Nb  0.249  0.514  0.630
Nb  0.249  0.370  0.884
Zn  0.500  0.000  0.000
S  0.750  0.333  0.667
S  0.250  0.667  0.333
S  0.749  0.715  0.658
S  0.749  0.342  0.057
S  0.749  0.943  0.285
S  0.251  0.285  0.342
S  0.251  0.658  0.943
S  0.251  0.057  0.715



No. 4
Here is a crystal of Nb2ZnS relaxed with PBEsol from Alexandria. Energies are from SCAN.

Computed properties:
E_tot   -22.3899 eV/atom
Formation energy from raw total energies   -0.039 eV per atom
Total magnetization   0.000 μB per atom
D(E_F)   3.0 states/eV/f.u.

Lattice parameters (Å, degrees): 4.398 4.398 4.398 60.00 60.00 60.00
Atoms (fractional coordinates):
S  0.000  0.000  0.000
Nb  0.250  0.250  0.250
Nb  0.750  0.750  0.750
Zn  0.500  0.500  0.500



No. 5
Here is a crystal of ZrNb3S relaxed with PBEsol from Alexandria. Energies are from SCAN.

Computed properties:
E_tot   -26.1170 eV/atom
Formation energy from raw total energies   1.826 eV per atom
Total magnetization   0.000 μB per atom
D(E_F)   5.2 states/eV/f.u.

Lattice parameters (Å, degrees): 4.846 4.846 4.846 90.00 90.00 90.00
Atoms (fractional coordinates):
Nb  0.000  0.500  0.000
Nb  0.000  0.000  0.500
Nb  0.500  0.000  0.000
S  0.500  0.500  0.500
Zr  0.000  0.000  0.000



No. 6
Here is a crystal of NbSb2 relaxed with PBEsol from Alexandria. Energies are from SCAN.

Computed properties:
E_tot   -36.1965 eV/atom
Formation energy from raw total energies   -0.313 eV per atom
Total magnetization   0.000 μB per atom
D(E_F)   0.4 states/eV/f.u.

Lattice parameters (Å, degrees): 3.613 5.427 7.484 78.38 76.03 70.56
Atoms (fractional coordinates):
Sb  0.595  0.697  0.113
Sb  0.405  0.303  0.887
Sb  0.148  0.239  0.464
Sb  0.852  0.761  0.536
Nb  0.848  0.113  0.190
Nb  0.152  0.887  0.810



No. 7
Here is a crystal of Nb3Sb relaxed with PBEsol from Alexandria. Energies are from SCAN.

Computed properties:
E_tot   -34.5490 eV/atom
Formation energy from raw total energies   -0.387 eV per atom
Total magnetization   0.000 μB per atom
D(E_F)   2.6 states/eV/f.u.

Lattice parameters (Å, degrees): 5.247 5.247 5.247 90.00 90.00 90.00
Atoms (fractional coordinates):
Nb  0.250  0.000  0.500
Nb  0.750  0.000  0.500
Nb  0.000  0.500  0.250
Nb  0.000  0.500  0.750
Nb  0.500  0.750  0.000
Nb  0.500  0.250  0.000
Sb  0.000  0.000  0.000
Sb  0.500  0.500  0.500



No. 8
Here is a crystal of Nb5Sb4 relaxed with PBEsol from Alexandria. Energies are from SCAN.

Computed properties:
E_tot   -35.3543 eV/atom
Formation energy from raw total energies   -0.389 eV per atom
Total magnetization   0.000 μB per atom
D(E_F)   3.6 states/eV/f.u.

Lattice parameters (Å, degrees): 3.530 7.478 7.478 86.81 76.35 76.35
Atoms (fractional coordinates):
Nb  0.000  0.000  0.000
Nb  0.688  0.683  0.940
Nb  0.371  0.940  0.317
Nb  0.629  0.060  0.683
Nb  0.312  0.317  0.060
Sb  0.948  0.347  0.757
Sb  0.295  0.757  0.653
Sb  0.705  0.243  0.347
Sb  0.052  0.653  0.243



Repeat the third record exactly.
Here is a crystal of Nb6ZnS8 relaxed with PBEsol from Alexandria. Energies are from SCAN.

Computed properties:
E_tot   -20.3699 eV/atom
Formation energy from raw total energies   -1.082 eV per atom
Total magnetization   0.000 μB per atom
D(E_F)   6.0 states/eV/f.u.

Lattice parameters (Å, degrees): 3.352 9.523 9.523 120.00 90.00 90.00
Atoms (fractional coordinates):
Nb  0.751  0.884  0.514
Nb  0.751  0.486  0.370
Nb  0.751  0.630  0.116
Nb  0.249  0.116  0.486
Nb  0.249  0.514  0.630
Nb  0.249  0.370  0.884
Zn  0.500  0.000  0.000
S  0.750  0.333  0.667
S  0.250  0.667  0.333
S  0.749  0.715  0.658
S  0.749  0.342  0.057
S  0.749  0.943  0.285
S  0.251  0.285  0.342
S  0.251  0.658  0.943
S  0.251  0.057  0.715